CsY2SbBr | PBE | optimized geometry

- Total magnetization: 0.0 μB per formula unit
- Total energy: -2.9973 eV/atom
- ΔE_f (raw): 4.59 eV/f.u.
- DOS at the Fermi energy: 5.87 states/eV/cell
- Symmetry: P4/mmm (123)

Structure (POSCAR):
```
CsY2SbBr
1.0
6.006 0.000 0.000
0.000 5.739 0.000
0.000 0.000 6.006
Sb Y Br Cs
1 2 1 1
direct
0.500 0.500 0.500
0.000 0.000 0.500
0.500 0.000 0.000
0.000 0.500 0.000
0.000 0.000 0.000
```